Record 1
A relaxed structure of YZnI2. Source: the Alexandria database, functional PBE-GGA. Values from VASP.

Quantum ESPRESSO input file:
```
&SYSTEM
  ibrav = 0, nat = 4, ntyp = 3
/
ATOMIC_SPECIES
Y 88.91 Y.upf
Zn 65.41 Zn.upf
I 126.90 I.upf
ATOMIC_POSITIONS crystal
Y 0.0000 0.0000 0.0000
Zn 0.5000 0.5000 0.5000
I 0.2500 0.2500 0.2500
I 0.7500 0.7500 0.7500
CELL_PARAMETERS angstrom
0.0000 3.8716 3.8716
3.8716 0.0000 3.8716
3.8716 3.8716 0.0000
```

Summary:
For the calculated density, the calculation gives 5.8 g/cm³. The value obtained for the energy above the most stable polymorph in this dataset is 0.145 eV/atom. The volume comes out at 29.02 Å³ per atom. For the uncorrected formation energy, the calculation gives -435.5 meV per atom.

=====

Record 2
A relaxed structure of Y2ZnI. Source: the Alexandria database, functional PBE-GGA. Values from VASP.

Quantum ESPRESSO input file:
```
&SYSTEM
  ibrav = 0, nat = 4, ntyp = 3
/
ATOMIC_SPECIES
Y 88.91 Y.upf
Zn 65.41 Zn.upf
I 126.90 I.upf
ATOMIC_POSITIONS crystal
Y 0.0908 0.0908 0.0908
Y 0.9092 0.9092 0.9092
Zn 0.0000 0.0000 0.0000
I 0.5000 0.5000 0.5000
CELL_PARAMETERS angstrom
1.8309 1.0571 10.9925
-1.8309 1.0571 10.9925
0.0000 -2.1141 10.9925
```

Summary:
For the calculated density, the calculation gives 4.8 g/cm³. The value obtained for the energy above the most stable polymorph in this dataset is 0.309 eV/atom. The volume comes out at 31.91 Å³ per atom. For the uncorrected formation energy, the calculation gives 16.1 meV per atom.

=====

Record 3
A relaxed structure of Y2ZnI. Source: the Alexandria database, functional PBE-GGA. Values from VASP.

Quantum ESPRESSO input file:
```
&SYSTEM
  ibrav = 0, nat = 8, ntyp = 3
/
ATOMIC_SPECIES
Y 88.91 Y.upf
Zn 65.41 Zn.upf
I 126.90 I.upf
ATOMIC_POSITIONS crystal
Y 0.0731 0.6250 0.9481
Y 0.3750 0.3231 0.4481
Y 0.6769 0.1250 0.0519
Y 0.8750 0.9269 0.5519
Zn 0.0000 0.0000 0.0000
Zn 0.7500 0.2500 0.5000
I 0.2500 0.7500 0.5000
I 0.5000 0.5000 0.0000
CELL_PARAMETERS angstrom
-3.2837 3.2837 6.9997
3.2837 -3.2837 6.9997
3.2837 3.2837 -6.9997
```

Summary:
For the calculated density, the calculation gives 4.1 g/cm³. The value obtained for the energy above the most stable polymorph in this dataset is 0.323 eV/atom. The volume comes out at 37.74 Å³ per atom. For the uncorrected formation energy, the calculation gives 30.1 meV per atom.

=====

Record 4
A relaxed structure of YZn3I. Source: the Alexandria database, functional PBE-GGA. Values from VASP.

Quantum ESPRESSO input file:
```
&SYSTEM
  ibrav = 0, nat = 5, ntyp = 3
/
ATOMIC_SPECIES
Y 88.91 Y.upf
Zn 65.41 Zn.upf
I 126.90 I.upf
ATOMIC_POSITIONS crystal
Y 0.0000 0.0000 0.0000
Zn 0.0000 0.0000 0.5000
Zn 0.0000 0.5000 0.0000
Zn 0.5000 0.0000 0.0000
I 0.5000 0.5000 0.5000
CELL_PARAMETERS angstrom
5.8156 0.0000 0.0000
0.0000 5.8156 0.0000
0.0000 0.0000 5.8156
```

Summary:
For the calculated density, the calculation gives 3.5 g/cm³. The value obtained for the energy above the most stable polymorph in this dataset is 0.000 eV/atom. The volume comes out at 39.34 Å³ per atom. For the uncorrected formation energy, the calculation gives 523.3 meV per atom.

=====

Record 5
A relaxed structure of YZn2I6. Source: the Alexandria database, functional PBE-GGA. Values from VASP.

Quantum ESPRESSO input file:
```
&SYSTEM
  ibrav = 0, nat = 9, ntyp = 3
/
ATOMIC_SPECIES
Y 88.91 Y.upf
Zn 65.41 Zn.upf
I 126.90 I.upf
ATOMIC_POSITIONS crystal
Y 0.0000 0.0000 0.0000
Zn 0.6143 0.6143 0.6143
Zn 0.7193 0.7193 0.7193
I 0.0668 0.7746 0.3978
I 0.2386 0.6151 0.9070
I 0.3978 0.0668 0.7746
I 0.6151 0.9070 0.2386
I 0.7746 0.3978 0.0668
I 0.9070 0.2386 0.6151
CELL_PARAMETERS angstrom
3.8513 2.2236 7.9835
-3.8513 2.2236 7.9835
0.0000 -4.4471 7.9835
```

Summary:
For the calculated density, the calculation gives 4.0 g/cm³. The volume comes out at 45.58 Å³ per atom. For the uncorrected formation energy, the calculation gives -801.0 meV per atom.

=====

Record 6
A relaxed structure of Y2ZnI. Source: the Alexandria database, functional PBE-GGA. Values from VASP.

Quantum ESPRESSO input file:
```
&SYSTEM
  ibrav = 0, nat = 4, ntyp = 3
/
ATOMIC_SPECIES
Y 88.91 Y.upf
Zn 65.41 Zn.upf
I 126.90 I.upf
ATOMIC_POSITIONS crystal
Y 0.2500 0.2500 0.2500
Y 0.7500 0.7500 0.7500
Zn 0.0000 0.0000 0.0000
I 0.5000 0.5000 0.5000
CELL_PARAMETERS angstrom
0.0000 3.7403 3.7403
3.7403 0.0000 3.7403
3.7403 3.7403 0.0000
```

Summary:
For the calculated density, the calculation gives 5.9 g/cm³. The value obtained for the energy above the most stable polymorph in this dataset is 0.000 eV/atom. The volume comes out at 26.16 Å³ per atom. For the uncorrected formation energy, the calculation gives -293.1 meV per atom.

=====

Record 7
A relaxed structure of YZnI2. Source: the Alexandria database, functional PBE-GGA. Values from VASP.

Quantum ESPRESSO input file:
```
&SYSTEM
  ibrav = 0, nat = 8, ntyp = 3
/
ATOMIC_SPECIES
Y 88.91 Y.upf
Zn 65.41 Zn.upf
I 126.90 I.upf
ATOMIC_POSITIONS crystal
Y 0.0000 0.0000 0.0000
Y 0.7500 0.2500 0.5000
Zn 0.2500 0.7500 0.5000
Zn 0.5000 0.5000 0.0000
I 0.3750 0.2270 0.3520
I 0.7730 0.1250 0.1480
I 0.8750 0.0230 0.6480
I 0.9770 0.6250 0.8520
CELL_PARAMETERS angstrom
-5.4607 5.4607 3.0288
5.4607 -5.4607 3.0288
5.4607 5.4607 -3.0288
```

Summary:
For the calculated density, the calculation gives 3.8 g/cm³. The value obtained for the energy above the most stable polymorph in this dataset is 0.000 eV/atom. The volume comes out at 45.16 Å³ per atom. For the uncorrected formation energy, the calculation gives -580.7 meV per atom.

=====

Record 8
A relaxed structure of YZnI. Source: the Alexandria database, functional PBE-GGA. Values from VASP.

Quantum ESPRESSO input file:
```
&SYSTEM
  ibrav = 0, nat = 6, ntyp = 3
/
ATOMIC_SPECIES
Y 88.91 Y.upf
Zn 65.41 Zn.upf
I 126.90 I.upf
ATOMIC_POSITIONS crystal
Y 0.1020 0.1020 0.3103
Y 0.8980 0.8980 0.6897
Zn 0.1825 0.1825 0.5467
Zn 0.8175 0.8175 0.4533
I 0.3832 0.3832 0.1569
I 0.6168 0.6168 0.8431
CELL_PARAMETERS angstrom
3.4924 -2.0157 0.0000
3.4924 2.0157 0.0000
-2.3746 0.0000 13.5284
```

Summary:
For the calculated density, the calculation gives 4.9 g/cm³. The volume comes out at 31.75 Å³ per atom. For the uncorrected formation energy, the calculation gives -667.6 meV per atom.

=====

Record 9
A relaxed structure of YZnI3. Source: the Alexandria database, functional PBE-GGA. Values from VASP.

Quantum ESPRESSO input file:
```
&SYSTEM
  ibrav = 0, nat = 5, ntyp = 3
/
ATOMIC_SPECIES
Y 88.91 Y.upf
Zn 65.41 Zn.upf
I 126.90 I.upf
ATOMIC_POSITIONS crystal
Y 0.0000 0.0000 0.0000
Zn 0.5000 0.5000 0.5000
I 0.0000 0.0000 0.5000
I 0.0000 0.5000 0.0000
I 0.5000 0.0000 0.0000
CELL_PARAMETERS angstrom
6.0439 0.0000 0.0000
0.0000 6.0439 0.0000
0.0000 0.0000 6.0439
```

Summary:
For the calculated density, the calculation gives 4.0 g/cm³. The value obtained for the energy above the most stable polymorph in this dataset is 0.000 eV/atom. The volume comes out at 44.15 Å³ per atom. For the uncorrected formation energy, the calculation gives -801.9 meV per atom.

=====

Record 10
A relaxed structure of YZrI2. Source: the Alexandria database, functional PBE-GGA. Values from VASP.

Quantum ESPRESSO input file:
```
&SYSTEM
  ibrav = 0, nat = 8, ntyp = 3
/
ATOMIC_SPECIES
Y 88.91 Y.upf
Zr 91.22 Zr.upf
I 126.90 I.upf
ATOMIC_POSITIONS crystal
Y 0.0000 0.0000 0.0000
Y 0.7500 0.2500 0.5000
Zr 0.2500 0.7500 0.5000
Zr 0.5000 0.5000 0.0000
I 0.1376 0.6250 0.0126
I 0.3750 0.3876 0.5126
I 0.6124 0.1250 0.9874
I 0.8750 0.8624 0.4874
CELL_PARAMETERS angstrom
-2.5704 2.5704 9.7917
2.5704 -2.5704 9.7917
2.5704 2.5704 -9.7917
```

Summary:
For the calculated density, the calculation gives 5.6 g/cm³. The value obtained for the energy above the most stable polymorph in this dataset is 0.159 eV/atom. The volume comes out at 32.35 Å³ per atom. For the uncorrected formation energy, the calculation gives -125.8 meV per atom.

=====

Record 11
A relaxed structure of YZrI2. Source: the Alexandria database, functional PBE-GGA. Values from VASP.

Quantum ESPRESSO input file:
```
&SYSTEM
  ibrav = 0, nat = 4, ntyp = 3
/
ATOMIC_SPECIES
Y 88.91 Y.upf
Zr 91.22 Zr.upf
I 126.90 I.upf
ATOMIC_POSITIONS crystal
Y 0.0000 0.0000 0.0000
Zr 0.5000 0.5000 0.5000
I 0.2500 0.2500 0.2500
I 0.7500 0.7500 0.7500
CELL_PARAMETERS angstrom
0.0000 3.7014 3.7014
3.7014 0.0000 3.7014
3.7014 3.7014 0.0000
```

Summary:
For the calculated density, the calculation gives 7.1 g/cm³. The value obtained for the energy above the most stable polymorph in this dataset is 0.000 eV/atom. The volume comes out at 25.36 Å³ per atom. For the uncorrected formation energy, the calculation gives -285.0 meV per atom.

=====

Record 12
A relaxed structure of Y2ZrI. Source: the Alexandria database, functional PBE-GGA. Values from VASP.

Quantum ESPRESSO input file:
```
&SYSTEM
  ibrav = 0, nat = 4, ntyp = 3
/
ATOMIC_SPECIES
Y 88.91 Y.upf
Zr 91.22 Zr.upf
I 126.90 I.upf
ATOMIC_POSITIONS crystal
Y 0.2500 0.2500 0.2500
Y 0.7500 0.7500 0.7500
Zr 0.0000 0.0000 0.0000
I 0.5000 0.5000 0.5000
CELL_PARAMETERS angstrom
0.0000 3.8521 3.8521
3.8521 0.0000 3.8521
3.8521 3.8521 0.0000
```

Summary:
For the calculated density, the calculation gives 5.8 g/cm³. The value obtained for the energy above the most stable polymorph in this dataset is 0.068 eV/atom. The volume comes out at 28.58 Å³ per atom. For the uncorrected formation energy, the calculation gives 214.5 meV per atom.

=====

Record 13
A relaxed structure of Y2ZrI. Source: the Alexandria database, functional PBE-GGA. Values from VASP.

Quantum ESPRESSO input file:
```
&SYSTEM
  ibrav = 0, nat = 8, ntyp = 3
/
ATOMIC_SPECIES
Y 88.91 Y.upf
Zr 91.22 Zr.upf
I 126.90 I.upf
ATOMIC_POSITIONS crystal
Y 0.0895 0.6250 0.9645
Y 0.3750 0.3395 0.4645
Y 0.6605 0.1250 0.0355
Y 0.8750 0.9105 0.5355
Zr 0.2500 0.7500 0.5000
Zr 0.5000 0.5000 0.0000
I 0.0000 0.0000 0.0000
I 0.7500 0.2500 0.5000
CELL_PARAMETERS angstrom
-4.3625 4.3625 3.1909
4.3625 -4.3625 3.1909
4.3625 4.3625 -3.1909
```

Summary:
For the calculated density, the calculation gives 5.4 g/cm³. The value obtained for the energy above the most stable polymorph in this dataset is 0.111 eV/atom. The volume comes out at 30.36 Å³ per atom. For the uncorrected formation energy, the calculation gives 257.6 meV per atom.

=====

Record 14
A relaxed structure of YZr3I. Source: the Alexandria database, functional PBE-GGA. Values from VASP.

Quantum ESPRESSO input file:
```
&SYSTEM
  ibrav = 0, nat = 5, ntyp = 3
/
ATOMIC_SPECIES
Y 88.91 Y.upf
Zr 91.22 Zr.upf
I 126.90 I.upf
ATOMIC_POSITIONS crystal
Y 0.0000 0.0000 0.0000
Zr 0.0000 0.5000 0.5000
Zr 0.5000 0.0000 0.5000
Zr 0.5000 0.5000 0.0000
I 0.5000 0.5000 0.5000
CELL_PARAMETERS angstrom
5.2984 0.0000 0.0000
0.0000 5.2984 0.0000
0.0000 0.0000 5.2984
```

Summary:
For the calculated density, the calculation gives 5.5 g/cm³. The value obtained for the energy above the most stable polymorph in this dataset is 0.000 eV/atom. The volume comes out at 29.75 Å³ per atom. For the uncorrected formation energy, the calculation gives 571.0 meV per atom.

=====

Record 15
A relaxed structure of Y2ZrI. Source: the Alexandria database, functional PBE-GGA. Values from VASP.

Quantum ESPRESSO input file:
```
&SYSTEM
  ibrav = 0, nat = 4, ntyp = 3
/
ATOMIC_SPECIES
Y 88.91 Y.upf
Zr 91.22 Zr.upf
I 126.90 I.upf
ATOMIC_POSITIONS crystal
Y 0.0916 0.0916 0.0916
Y 0.9084 0.9084 0.9084
Zr 0.0000 0.0000 0.0000
I 0.5000 0.5000 0.5000
CELL_PARAMETERS angstrom
1.7681 1.0208 11.1755
-1.7681 1.0208 11.1755
0.0000 -2.0416 11.1755
```

Summary:
For the calculated density, the calculation gives 5.4 g/cm³. The value obtained for the energy above the most stable polymorph in this dataset is 0.000 eV/atom. The volume comes out at 30.25 Å³ per atom. For the uncorrected formation energy, the calculation gives 146.6 meV per atom.

=====

Record 16
A relaxed structure of YZr3I. Source: the Alexandria database, functional PBE-GGA. Values from VASP.

Quantum ESPRESSO input file:
```
&SYSTEM
  ibrav = 0, nat = 5, ntyp = 3
/
ATOMIC_SPECIES
Y 88.91 Y.upf
Zr 91.22 Zr.upf
I 126.90 I.upf
ATOMIC_POSITIONS crystal
Y 0.0000 0.0000 0.0000
Zr 0.0000 0.0000 0.5000
Zr 0.0000 0.5000 0.0000
Zr 0.5000 0.0000 0.0000
I 0.5000 0.5000 0.5000
CELL_PARAMETERS angstrom
5.3490 0.0000 0.0000
0.0000 5.3490 0.0000
0.0000 0.0000 5.3490
```

Summary:
For the calculated density, the calculation gives 5.3 g/cm³. The value obtained for the energy above the most stable polymorph in this dataset is 0.813 eV/atom. The volume comes out at 30.61 Å³ per atom. For the uncorrected formation energy, the calculation gives 1384.1 meV per atom.

=====

Record 17
A relaxed structure of YbI2. Source: the Alexandria database, functional PBE-GGA. Values from VASP.

Quantum ESPRESSO input file:
```
&SYSTEM
  ibrav = 0, nat = 3, ntyp = 2
/
ATOMIC_SPECIES
Yb 173.04 Yb.upf
I 126.90 I.upf
ATOMIC_POSITIONS crystal
Yb 0.0000 0.0000 0.0000
I 0.3333 0.6667 0.2355
I 0.6667 0.3333 0.7645
CELL_PARAMETERS angstrom
4.5033 0.0000 0.0000
-2.2517 3.9000 0.0000
0.0000 0.0000 7.5849
```

Summary:
For the calculated density, the calculation gives 5.3 g/cm³. The volume comes out at 44.40 Å³ per atom. For the uncorrected formation energy, the calculation gives -1548.5 meV per atom.